# MnAsSBr2 PBE relaxed
# E_form (uncorrected)	0.41	eV/atom
# raw total energy	-19.22	eV per formula unit
# ΔE to the lowest computed polymorph	0	meV/atom
# space-group type	No. 123
data_MnAsSBr2
_cell_length_a 4.825
_cell_length_b 4.825
_cell_length_c 5.320
_cell_angle_alpha 90.00
_cell_angle_beta 90.00
_cell_angle_gamma 90.00
_symmetry_space_group_name_H-M 'P 1'
_symmetry_Int_Tables_number 1
_symmetry_space_group_name_Hall 'P 1'
loop_
_atom_site_label
_atom_site_type_symbol
_atom_site_fract_x
_atom_site_fract_y
_atom_site_fract_z
Mn1 Mn 0.000 0.000 0.000
As1 As 0.000 0.000 0.500
S1 S 0.500 0.500 0.500
Br1 Br 0.000 0.500 0.000
Br2 Br 0.500 0.000 0.000